(1)
Material: ZnFeSiAg
Method: DFT, PBE
State: relaxed

Unit cell a=4.289 b=4.289 c=4.289 alpha=60.00 beta=60.00 gamma=60.00
Positions (direct):
Zn  0.000  0.000  0.000
Fe  0.750  0.750  0.750
Si  0.500  0.500  0.500
Ag  0.250  0.250  0.250

Values from the calculation:
* total moment: 1.847 μB/f.u.
* calculated volume: 56 Å³/f.u.
* SG: F-43m, No. 216
* E_tot: -17.1 eV per formula unit

(2)
Material: FeAg2Sn
Method: DFT, PBE
State: relaxed

Unit cell a=4.568 b=4.568 c=4.568 alpha=60.00 beta=60.00 gamma=60.00
Positions (direct):
Fe  0.000  0.000  0.000
Ag  0.250  0.250  0.250
Ag  0.500  0.500  0.500
Sn  0.750  0.750  0.750

Values from the calculation:
* total moment: 2.485 μB/f.u.
* calculated volume: 67 Å³/f.u.
* SG: F-43m, No. 216
* E_tot: -16.9 eV per formula unit

Look up the calculated volume of the second one.
67 Å³/f.u.

Copy entry 2 word for word.
Material: FeAg2Sn
Method: DFT, PBE
State: relaxed

Unit cell a=4.568 b=4.568 c=4.568 alpha=60.00 beta=60.00 gamma=60.00
Positions (direct):
Fe  0.000  0.000  0.000
Ag  0.250  0.250  0.250
Ag  0.500  0.500  0.500
Sn  0.750  0.750  0.750

Values from the calculation:
* total moment: 2.485 μB/f.u.
* calculated volume: 67 Å³/f.u.
* SG: F-43m, No. 216
* E_tot: -16.9 eV per formula unit